Compound: Li2Er3Ni7
Source: the Alexandria database
Functional: PBE
Structure: optimized geometry

Summary:
ΔE_f = -4.17 eV per formula unit
E_tot = -62.15 eV/cell
DOS at the Fermi energy = 8.3 states/eV/f.u.

Unit cell a=5.0306 b=5.0306 c=8.4759 alpha=72.74 beta=72.74 gamma=60.00
Element x y z (fractional)
Li  0.3349  0.3349  0.9953
Li  0.6651  0.6651  0.0047
Ni  0.5857  0.0797  0.7489
Ni  0.5000  0.5000  0.5000
Ni  0.5857  0.5857  0.7489
Ni  0.9203  0.4143  0.2511
Ni  0.4143  0.4143  0.2511
Ni  0.4143  0.9203  0.2511
Ni  0.0797  0.5857  0.7489
Er  0.8612  0.8612  0.4164
Er  0.0000  0.0000  0.0000
Er  0.1388  0.1388  0.5836